1.
## SmMg8Rh2 (GGA-PBE)

Data for a geometry-optimized SmMg8Rh2 structure.

Properties
ΔH_f (0 K)	-0.154	eV/atom
calculated density	3.72	g cm⁻³
E_tot	-33.88	eV/cell
total magnetic moment	0.00	Bohr magnetons per cell
space-group type	C2/m, No. 12

Structure (extended XYZ):
```
11
Lattice="5.176 0.588 0.393 0.485 6.600 -3.004 0.444 0.108 7.253" Properties=species:S:1:pos:R:3 pbc="T T T"
Mg 1.143 4.561 4.766
Mg 1.801 2.982 1.894
Mg 3.043 2.148 4.692
Mg 3.062 5.149 -0.049
Mg 4.305 4.315 2.748
Mg 4.952 1.042 2.553
Mg 1.154 6.255 2.089
Mg 4.963 2.736 -0.123
Sm 2.588 0.294 0.197
Rh 0.457 2.103 4.102
Rh 0.473 4.606 0.148
```

***

2.
## MnCoC2 (GGA-PBE)

Data for a geometry-optimized MnCoC2 structure.

Properties
ΔH_f (0 K)	0.512	eV/atom
calculated density	5.83	g cm⁻³
E_tot	-65.35	eV/cell
total magnetic moment	0.00	Bohr magnetons per cell
space-group type	I-42d, No. 122

Structure (extended XYZ):
```
8
Lattice="4.288 0.000 0.000 0.000 4.288 0.000 2.144 2.144 4.268" Properties=species:S:1:pos:R:3 pbc="T T T"
Mn 2.144 4.288 2.134
Mn 2.144 2.144 0.000
C 3.201 1.072 1.067
C 1.087 3.216 1.067
C 3.216 3.231 3.201
C 5.360 5.345 3.201
Co 0.000 0.000 0.000
Co 4.288 2.144 2.134
```